1.
First-principles (PBE-GGA) data for crystalline Mg2Tl2InHg5 at its relaxed geometry, as listed in the Alexandria database.

The calculation puts the formation energy at -0.556 eV/f.u.

It has space group P4/mbm (No. 127), with a = 11.7345 Å, b = 11.7345 Å, c = 3.8174 Å, α = 90.00°, β = 90.00° and γ = 90.00°. The inequivalent atoms are Mg at (0.1319, 0.3681, 0.0000), Tl at (0.1713, 0.6713, 0.0000), In at (0.0000, 0.0000, 0.0000), Hg at (0.0000, 0.5000, 0.5000) and Hg at (0.0571, 0.1975, 0.5000).

***

2.
First-principles (PBE-GGA) data for crystalline MgTl2InHg2 at its relaxed geometry, as listed in the Alexandria database.

The calculation puts the formation energy at -0.140 eV/f.u.

It has space group Ibam (No. 72), with a = 6.2771 Å, b = 15.2426 Å, c = 7.0190 Å, α = 90.00°, β = 90.00° and γ = 90.00°. The inequivalent atoms are Mg at (0.0000, 0.0000, 0.2500), Tl at (0.2329, 0.3272, 0.0000), In at (0.0000, 0.5000, 0.2500) and Hg at (0.2260, 0.1244, 0.0000).

***

3.
First-principles (PBE-GGA) data for crystalline Mg5TlIn2Hg2 at its relaxed geometry, as listed in the Alexandria database.

The calculation puts the formation energy at -0.612 eV/f.u.

It has space group P4/mbm (No. 127), with a = 11.4196 Å, b = 11.4196 Å, c = 3.7376 Å, α = 90.00°, β = 90.00° and γ = 90.00°. The inequivalent atoms are Mg at (0.0000, 0.5000, 0.0000), Mg at (0.0240, 0.2094, 0.0000), Tl at (0.0000, 0.0000, 0.5000), In at (0.1762, 0.6762, 0.5000) and Hg at (0.1361, 0.3639, 0.5000).

***

4.
First-principles (PBE-GGA) data for crystalline MgTlInHg at its relaxed geometry, as listed in the Alexandria database.

The calculation puts the formation energy at 0.042 eV/f.u.

It has space group F-43m (No. 216), with a = 7.4218 Å, b = 7.4218 Å, c = 7.4218 Å, α = 90.00°, β = 90.00° and γ = 90.00°. The inequivalent atoms are Mg at (0.0000, 0.0000, 0.0000), Tl at (0.2500, 0.2500, 0.2500), In at (0.0000, 0.0000, 0.5000) and Hg at (0.2500, 0.2500, 0.7500).

***

5.
First-principles (PBE-GGA) data for crystalline MgTl2In2Hg7 at its relaxed geometry, as listed in the Alexandria database.

The calculation puts the formation energy at -0.105 eV/f.u.

It has space group C2/m (No. 12), with a = 6.9319 Å, b = 6.2799 Å, c = 14.7744 Å, α = 90.00°, β = 90.01° and γ = 90.00°. The inequivalent atoms are Mg at (0.0000, 0.0000, 0.0000), Tl at (0.0022, 0.0000, 0.6724), In at (0.0016, 0.5000, 0.6966), Hg at (0.0000, 0.5000, 0.0000), Hg at (0.2233, 0.5000, 0.5006) and Hg at (0.2489, 0.2499, 0.1486).

***

6.
First-principles (PBE-GGA) data for crystalline TmMgInHg at its relaxed geometry, as listed in the Alexandria database.

The calculation puts the formation energy at -1.442 eV/f.u.

It has space group Pmmm (No. 47), with a = 4.1110 Å, b = 4.7630 Å, c = 4.8112 Å, α = 90.00°, β = 90.00° and γ = 90.00°. The inequivalent atoms are Tm at (0.0000, 0.0000, 0.0000), Mg at (0.0000, 0.5000, 0.5000), In at (0.5000, 0.5000, 0.0000) and Hg at (0.5000, 0.0000, 0.5000).